*P*
# DyYMg

Crystalline DyYMg at its relaxed geometry (GGA-PBE, the Alexandria database).

DOS(E_F)	6.37	states/eV per cell

a = 3.698 Å, b = 5.460 Å, c = 8.792 Å
α = 90.00°, β = 102.16°, γ = 90.00°
Element x y z (fractional)
Y 0.591 0.750 0.183
Y 0.409 0.250 0.817
Mg 0.066 0.250 0.134
Mg 0.934 0.750 0.866
Dy 0.727 0.250 0.455
Dy 0.273 0.750 0.545

---

*Q*
# DyYMg

Crystalline DyYMg at its relaxed geometry (GGA-PBE, the Alexandria database).

DOS(E_F)	8.50	states/eV per cell

a = 6.398 Å, b = 6.398 Å, c = 5.360 Å
α = 90.00°, β = 90.00°, γ = 65.03°
Element x y z (fractional)
Mg 0.750 0.750 0.500
Mg 0.250 0.250 0.500
Dy 0.500 0.000 0.000
Dy 0.000 0.500 0.000
Y 0.250 0.750 0.500
Y 0.750 0.250 0.500

---

*R*
# DyYMg

Crystalline DyYMg at its relaxed geometry (GGA-PBE, the Alexandria database).

DOS(E_F)	7.44	states/eV per cell

a = 5.387 Å, b = 3.464 Å, c = 10.065 Å
α = 69.91°, β = 89.99°, γ = 90.00°
Element x y z (fractional)
Y 0.477 0.386 0.921
Y 0.977 0.898 0.408
Mg 0.977 0.719 0.084
Mg 0.476 0.564 0.244
Dy 0.977 0.060 0.748
Dy 0.477 0.225 0.580

---

*S*
# DyYMg

Crystalline DyYMg at its relaxed geometry (GGA-PBE, the Alexandria database).

DOS(E_F)	4.08	states/eV per cell

a = 3.722 Å, b = 3.722 Å, c = 6.806 Å
α = 105.87°, β = 105.87°, γ = 90.00°
Site moments in Bohr magnetons follow the coordinates.
Element x y z (fractional)
Dy 0.323 0.323 0.646  0.12
Mg 0.667 0.667 0.334  0.00
Y 0.010 0.010 0.020  0.09

---

The calculated energies rank the structures as follows, beginning with the most stable: *P*, *S*, *R*, *Q*.

---

*P*
# Dy2Y6Mg

Crystalline Dy2Y6Mg at its relaxed geometry (GGA-PBE, the Alexandria database).

DOS(E_F)	28.28	states/eV per cell

a = 5.059 Å, b = 10.546 Å, c = 10.546 Å
α = 90.00°, β = 90.00°, γ = 90.00°
Element x y z (fractional)
Y 0.000 0.337 0.164
Y 0.500 0.498 0.668
Y 0.500 0.168 0.998
Y 0.000 0.663 0.836
Y 0.500 0.837 0.336
Y 0.000 0.998 0.832
Y 0.000 0.002 0.168
Y 0.000 0.332 0.498
Y 0.000 0.668 0.502
Y 0.500 0.832 0.002
Y 0.500 0.163 0.664
Y 0.500 0.502 0.332
Dy 0.000 0.331 0.831
Dy 0.000 0.669 0.169
Dy 0.500 0.831 0.669
Dy 0.500 0.169 0.331
Mg 0.500 0.500 0.000
Mg 0.000 0.000 0.500

---

*Q*
# Dy2Y6Mg

Crystalline Dy2Y6Mg at its relaxed geometry (GGA-PBE, the Alexandria database).

DOS(E_F)	16.36	states/eV per cell

a = 3.468 Å, b = 5.903 Å, c = 17.069 Å
α = 114.70°, β = 84.17°, γ = 72.92°
Element x y z (fractional)
Dy 0.833 0.505 0.829
Dy 0.167 0.495 0.171
Y 0.564 0.810 0.062
Y 0.775 0.177 0.273
Y 0.436 0.190 0.938
Y 0.101 0.198 0.600
Y 0.899 0.802 0.400
Y 0.225 0.823 0.727
Mg 0.500 0.500 0.500

---

The calculated energies rank the structures as follows, beginning with the most stable: *P*, *Q*.

---

*P*
# Dy2Y8Mg

Crystalline Dy2Y8Mg at its relaxed geometry (GGA-PBE, the Alexandria database).

DOS(E_F)	17.64	states/eV per cell

a = 6.402 Å, b = 9.443 Å, c = 9.443 Å
α = 41.45°, β = 71.14°, γ = 71.14°
Element x y z (fractional)
Y 0.281 0.850 0.342
Y 0.682 0.202 0.202
Y 0.281 0.342 0.850
Y 0.719 0.658 0.150
Y 0.318 0.798 0.798
Y 0.755 0.574 0.574
Y 0.245 0.426 0.426
Y 0.719 0.150 0.658
Mg 0.000 0.000 0.000
Dy 0.115 0.270 0.270
Dy 0.885 0.730 0.730

---

*Q*
# Dy2Y8Mg

Crystalline Dy2Y8Mg at its relaxed geometry (GGA-PBE, the Alexandria database).

DOS(E_F)	18.85	states/eV per cell

a = 5.680 Å, b = 9.944 Å, c = 9.944 Å
α = 40.52°, β = 92.05°, γ = 92.05°
Element x y z (fractional)
Mg 0.000 0.000 0.000
Y 0.234 0.180 0.180
Y 0.234 0.549 0.549
Y 0.741 0.393 0.864
Y 0.766 0.451 0.451
Y 0.259 0.136 0.607
Y 0.741 0.864 0.393
Y 0.259 0.607 0.136
Y 0.766 0.820 0.820
Dy 0.744 0.282 0.282
Dy 0.256 0.718 0.718

---

The calculated energies rank the structures as follows, beginning with the most stable: *Q*, *P*.